Density functional theory data (PBE) for a relaxed CaPaPt3 crystal.

It has space group Pmmn (No. 59, origin choice 2), with a = 4.580 Å, b = 5.717 Å, c = 8.366 Å, α = 90.00°, β = 90.00° and γ = 90.00°. The distinct sites, in fractional coordinates, are Ca at (0.250, 0.250, 0.050), Pa at (0.250, 0.750, 0.392), Pt at (0.250, 0.250, 0.400) and Pt at (0.250, 0.504, 0.737).

Its total DFT energy (no corrections) is -6.931 eV per atom. The crystal system is orthorhombic. The calculation puts the magnetic moment at 0.0 μB/f.u. The energy of formation from the pure elements comes out at -1.0071 eV per atom. The value obtained for the density of states at the Fermi level is 0.64 states/eV per atom.